Version w
The following is a DFT calculation (PBE-GGA) of a relaxed DyPuMg crystal.

Calculated values
Space group: C2/m

Structure (POSCAR):
```
DyPuMg
1.0
-2.632 4.376 1.787
-0.391 0.563 6.230
5.145 1.764 3.258
Mg Dy Pu
2 2 2
direct
0.653 0.693 0.102
0.347 0.307 0.898
0.322 0.355 0.377
0.678 0.645 0.623
0.987 0.026 0.239
0.013 0.974 0.761
```

=====

Version x
The following is a DFT calculation (PBE-GGA) of a relaxed DyPuMg crystal.

Calculated values
Space group: P3m1

Structure (POSCAR):
```
DyPuMg
1.0
3.177 0.000 0.000
0.000 5.442 0.000
0.000 -2.721 4.713
Mg Pu Dy
1 1 1
direct
0.001 0.000 0.000
0.299 0.667 0.333
0.701 0.333 0.667
```

=====

Relative to the most stable one, in meV per atom, the structures come out at version w 0; version x 33.

=====

Version w
The following is a DFT calculation (PBE-GGA) of a relaxed DyPuMg2 crystal.

Calculated values
Space group: R-3m

Structure (POSCAR):
```
DyPuMg2
1.0
-1.209 2.949 -0.405
-2.751 0.401 -1.612
-7.628 -0.030 9.807
Dy Mg Pu
1 2 1
direct
0.000 0.000 0.000
0.088 0.088 0.735
0.912 0.912 0.265
0.500 0.500 0.500
```

=====

Version x
The following is a DFT calculation (PBE-GGA) of a relaxed DyPuMg2 crystal.

Calculated values
Space group: Fm-3m

Structure (POSCAR):
```
DyPuMg2
1.0
5.354 0.000 0.000
2.677 4.637 0.000
2.677 1.546 4.371
Dy Mg Pu
1 2 1
direct
0.000 0.000 0.000
0.750 0.750 0.750
0.250 0.250 0.250
0.500 0.500 0.500
```

=====

Relative to the most stable one, in meV per atom, the structures come out at version w 183; version x 0.

=====

Version w
The following is a DFT calculation (PBE-GGA) of a relaxed DyPuMg2 crystal.

Calculated values
Space group: P4/mmm

Structure (POSCAR):
```
DyPuMg2
1.0
-1.988 -2.108 -1.434
2.433 -1.028 -1.863
2.361 -6.922 6.902
Pu Dy Mg
1 1 2
direct
0.500 0.500 0.000
0.500 0.500 0.500
0.000 0.000 0.252
0.000 0.000 0.748
```

=====

Version x
The following is a DFT calculation (PBE-GGA) of a relaxed DyPuMg2 crystal.

Calculated values
Space group: P4/mmm

Structure (POSCAR):
```
DyPuMg2
1.0
-2.189 2.149 3.805
-4.001 0.196 -2.414
-1.214 -4.196 1.671
Dy Pu Mg
1 1 2
direct
0.500 0.500 0.500
0.500 0.000 0.000
0.000 0.000 0.500
0.000 0.500 0.000
```

=====

Relative to the most stable one, in meV per atom, the structures come out at version w 0; version x 53.

=====

Version w
The following is a DFT calculation (PBE-GGA) of a relaxed Dy4MgRh crystal.

Calculated values
Space group: F-43m

Structure (POSCAR):
```
Dy4MgRh
1.0
9.687 0.000 0.000
4.844 8.389 0.000
4.844 2.796 7.910
Dy Mg Rh
16 4 4
direct
0.188 0.188 0.812
0.653 0.042 0.653
0.042 0.653 0.653
0.435 0.435 0.065
0.188 0.812 0.812
0.653 0.653 0.042
0.812 0.812 0.188
0.065 0.435 0.435
0.653 0.653 0.653
0.435 0.065 0.065
0.812 0.188 0.812
0.188 0.812 0.188
0.812 0.188 0.188
0.065 0.435 0.065
0.435 0.065 0.435
0.065 0.065 0.435
0.420 0.420 0.739
0.420 0.739 0.420
0.420 0.420 0.420
0.739 0.420 0.420
0.858 0.426 0.858
0.858 0.858 0.426
0.858 0.858 0.858
0.426 0.858 0.858
```

=====

Version x
The following is a DFT calculation (PBE-GGA) of a relaxed Dy4MgRh crystal.

Calculated values
Space group: P4/mmm

Structure (POSCAR):
```
Dy4MgRh
1.0
4.802 0.000 -0.001
0.000 4.803 -0.001
0.004 0.006 7.971
Dy Mg Rh
4 1 1
direct
0.501 0.998 0.705
0.501 0.997 0.291
0.002 0.498 0.705
0.001 0.497 0.291
0.501 0.497 0.998
0.001 0.997 0.498
```

=====

Relative to the most stable one, in meV per atom, the structures come out at version w 0; version x 306.

=====

Version w
The following is a DFT calculation (PBE-GGA) of a relaxed DyMg2Rh2 crystal.

Calculated values
Space group: Cmmm

Structure (POSCAR):
```
DyMg2Rh2
1.0
-2.416 2.113 -0.538
-2.165 -2.481 -0.018
-2.259 -0.281 9.043
Mg Rh Dy
2 2 1
direct
0.000 0.825 0.350
0.000 0.175 0.650
0.500 0.597 0.807
0.500 0.403 0.193
0.000 0.000 0.000
```

=====

Version x
The following is a DFT calculation (PBE-GGA) of a relaxed DyMg2Rh2 crystal.

Calculated values
Space group: P2_1/m

Structure (POSCAR):
```
DyMg2Rh2
1.0
4.648 0.000 0.000
0.000 4.947 0.567
0.000 0.648 8.359
Dy Rh Mg
2 4 4
direct
0.250 0.685 0.215
0.750 0.315 0.785
0.250 0.599 0.569
0.750 0.752 0.001
0.750 0.401 0.431
0.250 0.248 0.999
0.250 0.803 0.833
0.250 0.139 0.463
0.750 0.197 0.167
0.750 0.861 0.537
```

=====

Relative to the most stable one, in meV per atom, the structures come out at version w 7; version x 0.

=====

Version w
The following is a DFT calculation (PBE-GGA) of a relaxed Dy2MgRh3 crystal.

Calculated values
Space group: Immm

Structure (POSCAR):
```
Dy2MgRh3
1.0
-2.576 3.337 -1.711
-2.278 -3.511 -3.416
-1.016 -0.882 5.856
Rh Dy Mg
3 2 1
direct
0.000 0.000 0.000
0.642 0.642 0.284
0.358 0.358 0.716
0.321 0.821 0.641
0.679 0.179 0.359
0.000 0.500 0.000
```

=====

Version x
The following is a DFT calculation (PBE-GGA) of a relaxed Dy2MgRh3 crystal.

Calculated values
Space group: P-3m1

Structure (POSCAR):
```
Dy2MgRh3
1.0
-0.731 -4.641 0.280
3.282 1.694 -2.918
7.865 -0.729 8.424
Mg Dy Rh
2 4 6
direct
0.667 0.333 0.337
0.333 0.667 0.663
0.000 0.000 0.000
0.000 0.000 0.500
0.667 0.333 0.820
0.333 0.667 0.180
0.000 0.000 0.746
0.333 0.667 0.913
0.667 0.333 0.579
0.000 0.000 0.254
0.667 0.333 0.087
0.333 0.667 0.421
```

=====

Relative to the most stable one, in meV per atom, the structures come out at version w 339; version x 0.

=====

Version w
The following is a DFT calculation (PBE-GGA) of a relaxed SmDyMgRu crystal.

Calculated values
Space group: P4mm

Structure (POSCAR):
```
SmDyMgRu
1.0
-3.198 0.059 -1.245
-1.186 -1.198 2.990
-0.949 7.966 2.814
Ru Sm Dy Mg
1 1 1 1
direct
0.000 0.000 0.565
0.500 0.500 0.769
0.500 0.500 0.374
0.000 0.000 0.077
```

=====

Version x
The following is a DFT calculation (PBE-GGA) of a relaxed SmDyMgRu crystal.

Calculated values
Space group: F-43m

Structure (POSCAR):
```
SmDyMgRu
1.0
-3.874 2.191 -2.431
-0.520 -0.606 -5.008
-3.778 -2.843 -1.831
Ru Sm Dy Mg
1 1 1 1
direct
0.750 0.750 0.750
0.000 0.000 0.000
0.500 0.500 0.500
0.250 0.250 0.250
```

=====

Relative to the most stable one, in meV per atom, the structures come out at version w 0; version x 88.